Below is a relaxed Ca2SnS4 crystal, with properties calculated at the GGA-PBE level.

uncorrected formation energy: -1.3076 eV/atom
E: -4.81 eV/atom
polymorph energy (0 for the lowest one): 90 meV per atom
V: 682.55 Å³/cell
M_tot: 0.0 μB per cell

a = 6.8690 Å, b = 7.3683 Å, c = 13.4857 Å
α = 90.00°, β = 90.00°, γ = 90.00°
Last column: nearest neighbours and their distance in Å.
Atoms (fractional coordinates):
Ca1 0.0098 0.0995 0.1440  6 S 2.78-3.02
Ca2 0.0098 0.4005 0.6440  6 S 2.78-3.02
Ca3 0.4902 0.5995 0.1440  6 S 2.78-3.02
Ca4 0.4902 0.9005 0.6440  6 S 2.78-3.02
Ca5 0.5098 0.0995 0.3560  6 S 2.78-3.02
Ca6 0.5098 0.4005 0.8560  6 S 2.78-3.02
Ca7 0.9902 0.5995 0.3560  6 S 2.78-3.02
Ca8 0.9902 0.9005 0.8560  6 S 2.78-3.02
Sn1 0.0000 0.0000 0.5000  6 S 2.50-2.69
Sn2 0.0000 0.5000 0.0000  6 S 2.50-2.69
Sn3 0.5000 0.0000 0.0000  6 S 2.50-2.69
Sn4 0.5000 0.5000 0.5000  6 S 2.50-2.69
S1 0.1192 0.0402 0.6735  1 Sn 2.50, 2 Ca 2.78-2.79
S2 0.1192 0.4598 0.1735  1 Sn 2.50, 2 Ca 2.78-2.79
S3 0.1885 0.1955 0.9466  2 Sn 2.68-2.69, 2 Ca 2.84-2.94
S4 0.1885 0.3045 0.4466  2 Sn 2.68-2.69, 2 Ca 2.84-2.94
S5 0.3115 0.6955 0.9466  2 Sn 2.68-2.69, 2 Ca 2.84-2.94
S6 0.3115 0.8045 0.4466  2 Sn 2.68-2.69, 2 Ca 2.84-2.94
S7 0.3808 0.5402 0.6735  1 Sn 2.50, 2 Ca 2.78-2.79
S8 0.3808 0.9598 0.1735  1 Sn 2.50, 2 Ca 2.78-2.79
S9 0.6192 0.0402 0.8265  1 Sn 2.50, 2 Ca 2.78-2.79
S10 0.6192 0.4598 0.3265  1 Sn 2.50, 2 Ca 2.78-2.79
S11 0.6885 0.1955 0.5534  2 Sn 2.68-2.69, 2 Ca 2.84-2.94
S12 0.6885 0.3045 0.0534  2 Sn 2.68-2.69, 2 Ca 2.84-2.94
S13 0.8115 0.6955 0.5534  2 Sn 2.68-2.69, 2 Ca 2.84-2.94
S14 0.8115 0.8045 0.0534  2 Sn 2.68-2.69, 2 Ca 2.84-2.94
S15 0.8808 0.5402 0.8265  1 Sn 2.50, 2 Ca 2.78-2.79
S16 0.8808 0.9598 0.3265  1 Sn 2.50, 2 Ca 2.78-2.79